(1)
AuCCl3 | PBEsol | relaxed

Values from the calculation:
Space group: Pm-3m, No. 221
Raw formation energy: 5.281 eV per formula unit
Calculated density: 6366 kg/m³
M_tot: 0.00 μB per formula unit
Volume: 82.3 Å³ per cell

Unit cell a=4.3490 b=4.3490 c=4.3490 alpha=90.00 beta=90.00 gamma=90.00
Last column: nearest neighbours and their distance in Å.
Fractional coordinates of all 5 atoms:
Au: 0.0000 0.0000 0.0000  12 Cl 3.08
C: 0.5000 0.5000 0.5000  6 Cl 2.17
Cl: 0.0000 0.5000 0.5000  2 C 2.17
Cl: 0.5000 0.0000 0.5000  2 C 2.17
Cl: 0.5000 0.5000 0.0000  2 C 2.17

***

(2)
Li2PrGe | PBEsol | relaxed

Values from the calculation:
Space group: P6_3/mmc, No. 194
E_form: -0.357 eV/atom
Calculated density: 4930 kg/m³
M_tot: 0.87 μB per formula unit
Volume: 153.2 Å³ per cell

Unit cell a=4.3340 b=4.3340 c=9.4184 alpha=90.00 beta=90.00 gamma=120.00
Last column: nearest neighbours and their distance in Å.
Fractional coordinates of all 8 atoms:
Li: 0.3333 0.6667 0.0665  3 Ge 2.58, 3 Li 2.80
Li: 0.3333 0.6667 0.4335  3 Ge 2.58, 3 Li 2.80
Li: 0.6667 0.3333 0.5665  3 Ge 2.58, 3 Li 2.80
Li: 0.6667 0.3333 0.9335  3 Ge 2.58, 3 Li 2.80
Pr: 0.3333 0.6667 0.7500  8 Li 2.98-3.04
Pr: 0.6667 0.3333 0.2500  8 Li 2.98-3.04
Ge: 0.0000 0.0000 0.0000  6 Li 2.58
Ge: 0.0000 0.0000 0.5000  6 Li 2.58

***

(3)
ScSbAu2 | PBEsol | relaxed

Values from the calculation:
Space group: I4/mmm, No. 139
Raw formation energy: -2.214 eV per formula unit
Calculated density: 12090 kg/m³
M_tot: 0.00 μB per formula unit
Volume: 77.0 Å³ per cell

Unit cell a=5.2750 b=5.2750 c=5.2750 alpha=133.04 beta=133.04 gamma=68.60
Last column: nearest neighbours and their distance in Å.
Fractional coordinates of all 4 atoms:
Sc: 0.0000 0.0000 0.0000  4 Sb 2.97, 8 Au 3.03
Sb: 0.5000 0.5000 0.0000  4 Sc 2.97, 8 Au 3.03
Au: 0.2500 0.7500 0.5000  4 Au 2.97, 4 Sb 3.03, 4 Sc 3.03
Au: 0.7500 0.2500 0.5000  4 Au 2.97, 4 Sb 3.03, 4 Sc 3.03

***

(4)
TeMoOs2 | PBEsol | relaxed

Values from the calculation:
Space group: Amm2, No. 38
Raw formation energy: 2.171 eV per formula unit
Calculated density: 15657 kg/m³
M_tot: 0.00 μB per formula unit
Volume: 64.1 Å³ per cell

Unit cell a=4.0659 b=5.6755 c=5.6755 alpha=29.28 beta=90.00 gamma=90.00
Last column: nearest neighbours and their distance in Å.
Fractional coordinates of all 4 atoms:
Te: 0.0000 0.0000 0.0000  3 Os 2.62, 4 Mo 2.80, 2 Te 2.87
Mo: 0.5000 0.3839 0.3839  5 Os 2.56-2.83, 4 Te 2.80
Os: 0.0000 0.7611 0.7611  1 Te 2.62, 6 Os 2.77-2.87, 4 Mo 2.83
Os: 0.5000 0.1511 0.1511  1 Mo 2.56, 2 Te 2.62, 4 Os 2.77

***

(5)
AlSbBr2 | PBEsol | relaxed

Values from the calculation:
Space group: Fd-3m, No. 227
Raw formation energy: 1.201 eV per formula unit
Calculated density: 2635 kg/m³
M_tot: 3.01 μB per formula unit
Energy above the most stable polymorph in this dataset: 1.64 eV per formula unit
Volume: 388.9 Å³ per cell

Unit cell a=8.1928 b=8.1928 c=8.1928 alpha=60.00 beta=60.00 gamma=60.00
Last column: nearest neighbours and their distance in Å.
Fractional coordinates of all 8 atoms:
Al: 0.1250 0.1250 0.1250  4 Br 2.51
Al: 0.8750 0.8750 0.8750  4 Br 2.51
Sb: 0.3750 0.3750 0.3750  12 Br 4.80, 4 Sb 5.02, 4 Al 5.02
Sb: 0.6250 0.6250 0.6250  12 Br 4.80, 4 Sb 5.02, 4 Al 5.02
Br: 0.0000 0.0000 0.0000  2 Al 2.51
Br: 0.0000 0.0000 0.5000  2 Al 2.51
Br: 0.0000 0.5000 0.0000  2 Al 2.51
Br: 0.5000 0.0000 0.0000  2 Al 2.51

***

(6)
TaAs2AuSe | PBEsol | relaxed

Values from the calculation:
Space group: P4/mmm, No. 123
Raw formation energy: 2.469 eV per formula unit
Calculated density: 8475 kg/m³
M_tot: 0.00 μB per formula unit
Volume: 118.9 Å³ per cell

Unit cell a=4.9628 b=4.9628 c=4.8266 alpha=90.00 beta=90.00 gamma=90.00
Last column: nearest neighbours and their distance in Å.
Fractional coordinates of all 5 atoms:
Ta: 0.0000 0.0000 0.0000  2 Se 2.41, 4 As 2.48
As: 0.0000 0.5000 0.0000  2 Ta 2.48
As: 0.5000 0.0000 0.0000  2 Ta 2.48
Au: 0.5000 0.5000 0.5000  8 As 3.46, 4 Se 3.51
Se: 0.0000 0.0000 0.5000  2 Ta 2.41

***

(7)
AlB2 | PBEsol | relaxed

Values from the calculation:
Space group: P6/mmm, No. 191
E_form: -0.085 eV/atom
Calculated density: 3176 kg/m³
M_tot: 0.00 μB per formula unit
Volume: 25.4 Å³ per cell

Unit cell a=2.9962 b=2.9962 c=3.2690 alpha=90.00 beta=90.00 gamma=120.00
Last column: nearest neighbours and their distance in Å.
Fractional coordinates of all 3 atoms:
Al: 0.0000 0.0000 0.0000  12 B 2.38
B: 0.3333 0.6667 0.5000  3 B 1.73
B: 0.6667 0.3333 0.5000  3 B 1.73

***

(8)
HfNi2PtSe | PBEsol | relaxed

Values from the calculation:
Space group: P4/mmm, No. 123
Raw formation energy: 1.174 eV per formula unit
Calculated density: 11145 kg/m³
M_tot: 0.00 μB per formula unit
Volume: 84.9 Å³ per cell

Unit cell a=4.2038 b=4.2038 c=4.8052 alpha=90.00 beta=90.00 gamma=90.00
Last column: nearest neighbours and their distance in Å.
Fractional coordinates of all 5 atoms:
Hf: 0.0000 0.0000 0.0000  4 Pt 2.97, 8 Ni 3.19
Ni: 0.0000 0.5000 0.5000  2 Se 2.10
Ni: 0.5000 0.0000 0.5000  2 Se 2.10
Pt: 0.5000 0.5000 0.0000  2 Se 2.40
Se: 0.5000 0.5000 0.5000  4 Ni 2.10

***

(9)
HfSc2Os | PBEsol | relaxed

Values from the calculation:
Space group: Fm-3m, No. 225
E_form: 0.039 eV/atom
Calculated density: 10367 kg/m³
M_tot: 1.32 μB per formula unit
Volume: 73.5 Å³ per cell

Unit cell a=4.7011 b=4.7011 c=4.7011 alpha=60.00 beta=60.00 gamma=60.00
Last column: nearest neighbours and their distance in Å.
Fractional coordinates of all 4 atoms:
Hf: 0.0000 0.0000 0.0000  8 Sc 2.88
Sc: 0.2500 0.2500 0.2500  4 Os 2.88, 4 Hf 2.88
Sc: 0.7500 0.7500 0.7500  4 Hf 2.88, 4 Os 2.88
Os: 0.5000 0.5000 0.5000  8 Sc 2.88

***

(10)
Ba2LiH | PBEsol | relaxed

Values from the calculation:
VASP energy: -0.1819 Ry/atom
Space group: I-42d, No. 122
Calculated density: 3305 kg/m³
M_tot: 0.00 μB per formula unit
Volume: 284.0 Å³ per cell

Unit cell a=7.1791 b=7.1791 c=7.1791 alpha=111.29 beta=111.29 gamma=105.89
Last column: nearest neighbours and their distance in Å.
Fractional coordinates of all 8 atoms:
Ba: 0.0155 0.1250 0.3905  2 H 2.56
Ba: 0.3750 0.9845 0.1095  2 H 2.56
Ba: 0.7345 0.6250 0.6095  2 H 2.56
Ba: 0.8750 0.2655 0.8905  2 H 2.56
Li: 0.2500 0.7500 0.5000  8 Ba 3.71-3.99
Li: 0.5000 0.5000 0.0000  8 Ba 3.71-3.99
H: 0.0000 0.0000 0.0000  4 Ba 2.56
H: 0.7500 0.2500 0.5000  4 Ba 2.56

***

(11)
InAsCl2 | PBEsol | relaxed

Values from the calculation:
Space group: Imm2, No. 44
Raw formation energy: -0.854 eV per formula unit
Calculated density: 4495 kg/m³
M_tot: 0.00 μB per formula unit
Energy above the most stable polymorph in this dataset: 0.00 eV per formula unit
Volume: 96.3 Å³ per cell

Unit cell a=7.1259 b=7.1259 c=7.1259 alpha=151.89 beta=145.49 gamma=45.08
Last column: nearest neighbours and their distance in Å.
Fractional coordinates of all 4 atoms:
In: 0.0000 0.0000 0.0000  2 As 2.84, 4 Cl 2.90
As: 0.1709 0.6709 0.5000  4 Cl 2.74, 2 In 2.84
Cl: 0.4253 0.4253 0.0000  4 In 2.90
Cl: 0.6870 0.1870 0.5000  4 As 2.74

***

(12)
Li2CuP2O7 | PBEsol | relaxed

Values from the calculation:
Space group: C2/c, No. 15
Raw formation energy: -24.523 eV per formula unit
Calculated density: 2834 kg/m³
M_tot: 1.00 μB per formula unit
Energy above the most stable polymorph in this dataset: 0.00 eV per formula unit
Volume: 294.5 Å³ per cell

Unit cell a=8.0584 b=8.0584 c=8.6251 alpha=114.00 beta=114.00 gamma=35.56
Last column: nearest neighbours and their distance in Å.
Fractional coordinates of all 24 atoms:
Li: 0.0447 0.3323 0.0518  4 O 1.89-1.94
Li: 0.3323 0.0447 0.5518  4 O 1.89-1.94
Li: 0.6677 0.9553 0.4482  4 O 1.89-1.94
Li: 0.9553 0.6677 0.9482  4 O 1.89-1.94
Cu: 0.0000 0.0000 0.0000  4 O 1.93
Cu: 0.0000 0.0000 0.5000  4 O 1.93
P: 0.2621 0.5350 0.6845  4 O 1.50-1.63
P: 0.4650 0.7379 0.8155  4 O 1.50-1.63
P: 0.5350 0.2621 0.1845  4 O 1.50-1.63
P: 0.7379 0.4650 0.3155  4 O 1.50-1.63
O: 0.0517 0.7503 0.5558  1 P 1.54
O: 0.1242 0.6709 0.8443  1 P 1.54
O: 0.2497 0.3896 0.1081  1 P 1.50
O: 0.2497 0.9483 0.9442  1 P 1.54
O: 0.3291 0.8758 0.6557  1 P 1.54
O: 0.3896 0.2497 0.6081  1 P 1.50
O: 0.4719 0.5281 0.2500  2 P 1.63
O: 0.5281 0.4719 0.7500  2 P 1.63
O: 0.6104 0.7503 0.3919  1 P 1.50
O: 0.6709 0.1242 0.3443  1 P 1.54
O: 0.7503 0.0517 0.0558  1 P 1.54
O: 0.7503 0.6104 0.8919  1 P 1.50
O: 0.8758 0.3291 0.1557  1 P 1.54
O: 0.9483 0.2497 0.4442  1 P 1.54

***

(13)
RbNbCuS2 | PBEsol | relaxed

Values from the calculation:
Space group: P4/mmm, No. 123
Raw formation energy: 3.026 eV per formula unit
Calculated density: 4630 kg/m³
M_tot: 2.88 μB per formula unit
Volume: 109.8 Å³ per cell

Unit cell a=4.8132 b=4.8132 c=4.7379 alpha=90.00 beta=90.00 gamma=90.00
Last column: nearest neighbours and their distance in Å.
Fractional coordinates of all 5 atoms:
Rb: 0.0000 0.0000 0.0000  8 S 3.38, 4 Nb 3.40
Nb: 0.5000 0.5000 0.0000  2 Cu 2.37
Cu: 0.5000 0.5000 0.5000  2 Nb 2.37, 4 S 2.41
S: 0.0000 0.5000 0.5000  2 Cu 2.41
S: 0.5000 0.0000 0.5000  2 Cu 2.41